# HfW3F | Alexandria via LeMat-Bulk | PBE with a Hubbard U | relaxed
# VASP energy = -5.708 eV/atom
data_HfW3F
_chemical_formula_sum 'Hf1 W3 F1'
_cell_length_a 4.401
_cell_length_b 4.401
_cell_length_c 4.401
_cell_angle_alpha 90.00
_cell_angle_beta 90.00
_cell_angle_gamma 90.00
_space_group_name_H-M_alt 'P m -3 m'
_space_group_IT_number 221
_space_group_name_Hall '-P 4 2 3'
loop_
_atom_site_label
_atom_site_fract_x
_atom_site_fract_y
_atom_site_fract_z
Hf1 0.000 0.000 0.000
W1 0.000 0.500 0.500
F1 0.500 0.500 0.500